No. 1
Pm5PrHo | PBE-GGA | optimized geometry

Its energy above the most stable polymorph in this dataset is 0.000 eV per atom. The density of states at the Fermi level is 21.42 states/eV/cell. The formation energy is 0.88 eV per atom.

Unit cell a=8.0434 b=11.8428 c=6.2927 alpha=90.00 beta=90.00 gamma=90.00
With the nearest neighbours (Å) after each atom.
Space group Imm2 (No. 44)
Symmetry-distinct sites (fractional):
Pm: 0.0000 0.0000 0.0000 x2  1 Pr 2.93, 2 Pm 3.08
Pm: 0.0000 0.2483 0.2644 x4  1 Ho 2.98
Pm: 0.1787 0.5000 0.7654 x4  2 Pm 2.87-3.08, 1 Pr 3.09
Pr: 0.0000 0.0000 0.5337 x2  3 Pm 2.93-3.09
Ho: 0.0000 0.5000 0.2662 x2  2 Pm 2.98


No. 2
Li6GaSi | PBE-GGA | optimized geometry

As for the uncorrected formation energy: -0.1605 eV per atom. Its energy above the most stable polymorph in this dataset is 0.000 eV per atom. The density of states at the Fermi level is 6.27 states/eV/cell.

Unit cell a=4.5159 b=5.7830 c=9.6934 alpha=90.00 beta=90.00 gamma=90.00
With the nearest neighbours (Å) after each atom.
Space group Amm2 (No. 38)
Symmetry-distinct sites (fractional):
Li: 0.0000 0.0000 0.0000 x2  6 Li 2.62-2.83, 2 Si 2.74, 2 Ga 2.89
Li: 0.0000 0.2290 0.2334 x4  6 Li 2.62-2.87, 2 Si 2.71, 2 Ga 2.82-2.83
Li: 0.5000 0.0000 0.6607 x2  8 Li 2.75-2.89, 2 Ga 2.79, 2 Si 2.89
Li: 0.5000 0.2408 0.4161 x4  8 Li 2.75-3.00, 2 Ga 2.75, 2 Si 2.80-2.84
Ga: 0.0000 0.0000 0.4917 x2  12 Li 2.75-2.89
Si: 0.5000 0.0000 0.1607 x2  12 Li 2.71-2.89


No. 3
Sr2AsRh | PBE-GGA | optimized geometry

The density of states at the Fermi level is 1.49 states/eV/cell. The formation energy is -0.31 eV per atom.

Unit cell a=7.1503 b=7.1503 c=7.1503 alpha=90.00 beta=90.00 gamma=90.00
With the nearest neighbours (Å) after each atom.
Space group F-43m (No. 216)
Symmetry-distinct sites (fractional):
Sr: 0.0000 0.0000 0.0000 x4  4 Rh 3.10, 4 Sr 3.10
Sr: 0.2500 0.2500 0.2500 x4  4 As 3.10, 4 Sr 3.10
As: 0.0000 0.0000 0.5000 x4  4 Rh 3.10, 4 Sr 3.10
Rh: 0.2500 0.2500 0.7500 x4  4 As 3.10, 4 Sr 3.10


No. 4
La6RuRh2 | PBE-GGA | optimized geometry

The density of states at the Fermi level is 16.20 states/eV/cell. The formation energy is -0.47 eV per atom.

Unit cell a=6.9516 b=7.5029 c=12.2568 alpha=90.00 beta=120.68 gamma=90.00
With the nearest neighbours (Å) after each atom.
Space group P2_1/c (No. 14)
Symmetry-distinct sites (fractional):
La: 0.0783 0.0638 0.2456 x4  1 Ru 2.81, 2 Rh 2.90-2.95
La: 0.2575 0.6842 0.0822 x4  1 Ru 2.83, 2 Rh 2.95-3.13
La: 0.3932 0.1803 0.0663 x4  1 Ru 2.77, 1 Rh 2.88
Ru: 0.0000 0.0000 0.0000 x2  6 La 2.77-2.83
Rh: 0.3249 0.1089 0.7810 x4  5 La 2.88-3.13